Entry 1:
This record from Alexandria describes a relaxed structure of Cd2ReSe. The functional is GGA-PBE.

E_tot   -3.9112 eV per atom
DOS at the Fermi energy   2.1 states/eV/cell
Space group   No. 65

a = 2.8036 Å, b = 2.8036 Å, c = 10.5547 Å
α = 90.00°, β = 90.00°, γ = 108.95°
With the nearest neighbours (Å) after each atom.
Sites, in units of the cell vectors:
Cd1 0.0000 0.0000 0.0250  4 Cd 2.80, 2 Re 2.88
Cd2 0.0000 0.0000 0.4750  4 Cd 2.80, 2 Re 2.88
Re1 0.5000 0.5000 0.2500  4 Re 2.80, 4 Cd 2.88
Se1 0.5000 0.5000 0.7500  4 Se 2.80

***

Entry 2:
This record from Alexandria describes a relaxed structure of Cd2ReSe. The functional is GGA-PBE.

E_tot   -3.7794 eV per atom
DOS at the Fermi energy   2.5 states/eV/cell
Space group   No. 47

a = 2.8179 Å, b = 4.3610 Å, c = 6.4250 Å
α = 90.00°, β = 90.00°, γ = 90.00°
With the nearest neighbours (Å) after each atom.
Sites, in units of the cell vectors:
Cd1 0.0000 0.0000 0.0294  3 Cd 2.82-2.83, 4 Re 2.96
Cd2 0.0000 0.0000 0.4706  3 Cd 2.82-2.83, 4 Re 2.96
Re1 0.5000 0.5000 0.2500  2 Re 2.82, 8 Cd 2.96
Se1 0.5000 0.5000 0.7500  2 Se 2.82

***

Entry 3:
This record from Alexandria describes a relaxed structure of CdRe2Se. The functional is GGA-PBE.

E_tot   -6.4401 eV per atom
DOS at the Fermi energy   4.6 states/eV/cell
Space group   No. 122

a = 4.1135 Å, b = 4.1135 Å, c = 9.6469 Å
α = 77.69°, β = 77.69°, γ = 90.00°
With the nearest neighbours (Å) after each atom.
Sites, in units of the cell vectors:
Re1 0.5400 0.1250 0.2500  2 Re 2.46, 2 Se 2.61
Re2 0.2100 0.6250 0.2500  2 Re 2.46, 2 Se 2.61
Re3 0.3750 0.4600 0.7500  2 Re 2.46, 2 Se 2.61
Re4 0.8750 0.7900 0.7500  2 Re 2.46, 2 Se 2.61
Se1 0.5000 0.5000 0.0000  4 Re 2.61, 4 Cd 2.91
Se2 0.2500 0.7500 0.5000  4 Re 2.61, 4 Cd 2.91
Cd1 0.0000 0.0000 0.0000  4 Re 2.87, 4 Se 2.91
Cd2 0.7500 0.2500 0.5000  4 Re 2.87, 4 Se 2.91

***

Entry 4:
This record from Alexandria describes a relaxed structure of CdReSe. The functional is GGA-PBE.

E_tot   -4.6806 eV per atom
DOS at the Fermi energy   3.5 states/eV/cell
Space group   No. 216

a = 4.4257 Å, b = 4.4257 Å, c = 4.4257 Å
α = 60.00°, β = 60.00°, γ = 60.00°
With the nearest neighbours (Å) after each atom.
Sites, in units of the cell vectors:
Cd1 0.5000 0.5000 0.5000  4 Re 2.71
Re1 0.2500 0.2500 0.2500  4 Cd 2.71, 4 Se 2.71
Se1 0.0000 0.0000 0.0000  4 Re 2.71

***

Entry 5:
This record from Alexandria describes a relaxed structure of CdRe3Se. The functional is GGA-PBE.

E_tot   -5.0384 eV per atom
DOS at the Fermi energy   7.2 states/eV/cell
Space group   No. 221

a = 4.8550 Å, b = 4.8550 Å, c = 4.8550 Å
α = 90.00°, β = 90.00°, γ = 90.00°
With the nearest neighbours (Å) after each atom.
Sites, in units of the cell vectors:
Re1 0.0000 0.5000 0.0000  2 Cd 2.43
Re2 0.0000 0.0000 0.5000  2 Cd 2.43
Re3 0.5000 0.0000 0.0000  2 Cd 2.43
Se1 0.5000 0.5000 0.5000  12 Re 3.43
Cd1 0.0000 0.0000 0.0000  6 Re 2.43

***

Entry 6:
This record from Alexandria describes a relaxed structure of CdRe4Se. The functional is GGA-PBE.

E_tot   -8.1949 eV per atom
DOS at the Fermi energy   2.7 states/eV/cell
Space group   No. 216

a = 5.2875 Å, b = 5.2875 Å, c = 5.2875 Å
α = 60.00°, β = 60.00°, γ = 60.00°
With the nearest neighbours (Å) after each atom.
Sites, in units of the cell vectors:
Cd1 0.0000 0.0000 0.0000  12 Re 3.10, 4 Se 3.24
Re1 0.8727 0.3758 0.3758  6 Re 2.63-2.66
Re2 0.3758 0.3758 0.8727  6 Re 2.63-2.66
Re3 0.3758 0.8727 0.3758  6 Re 2.63-2.66
Re4 0.3758 0.3758 0.3758  6 Re 2.63-2.66
Se1 0.7500 0.7500 0.7500  12 Re 3.10, 4 Cd 3.24

***

Entry 7:
This record from Alexandria describes a relaxed structure of Cd2ReSe. The functional is GGA-PBE.

E_tot   -4.2435 eV per atom
DOS at the Fermi energy   2.8 states/eV/cell
Space group   No. 99

a = 3.0574 Å, b = 3.0574 Å, c = 8.8786 Å
α = 90.00°, β = 90.00°, γ = 90.00°
With the nearest neighbours (Å) after each atom.
Sites, in units of the cell vectors:
Cd1 0.0000 0.0000 0.0168  8 Cd 3.06-3.25
Cd2 0.5000 0.5000 0.2904  4 Re 2.98, 8 Cd 3.06-3.25
Re1 0.0000 0.0000 0.5208  4 Se 2.54
Se1 0.5000 0.5000 0.6719  4 Re 2.54

***

Entry 8:
This record from Alexandria describes a relaxed structure of CdRe2Se. The functional is GGA-PBE.

E_tot   -6.3663 eV per atom
DOS at the Fermi energy   3.8 states/eV/cell
Space group   No. 12

a = 4.8218 Å, b = 5.8099 Å, c = 2.8384 Å
α = 75.73°, β = 90.30°, γ = 114.60°
With the nearest neighbours (Å) after each atom.
Sites, in units of the cell vectors:
Cd1 0.5000 0.5000 0.0000  4 Se 2.79-2.80, 2 Cd 2.84, 4 Re 2.90
Re1 0.0000 0.0000 0.0000  6 Re 2.79-2.84, 2 Se 2.90, 2 Cd 2.90
Re2 0.5000 0.0000 0.5000  6 Re 2.79-2.84, 2 Cd 2.90, 2 Se 2.90
Se1 0.0000 0.5000 0.5000  4 Cd 2.79-2.80, 2 Se 2.84, 4 Re 2.90

***

Entry 9:
This record from Alexandria describes a relaxed structure of CdRe2Se. The functional is GGA-PBE.

E_tot   -6.4100 eV per atom
DOS at the Fermi energy   3.0 states/eV/cell
Space group   No. 65

a = 2.8204 Å, b = 2.8204 Å, c = 9.4664 Å
α = 90.00°, β = 90.00°, γ = 116.50°
With the nearest neighbours (Å) after each atom.
Sites, in units of the cell vectors:
Cd1 0.5000 0.5000 0.7500  6 Cd 2.82-2.97, 4 Re 2.90
Re1 0.0000 0.0000 0.0136  2 Se 2.68, 6 Re 2.82-2.97, 2 Cd 2.90
Re2 0.0000 0.0000 0.4864  2 Se 2.68, 6 Re 2.82-2.97, 2 Cd 2.90
Se1 0.5000 0.5000 0.2500  4 Re 2.68, 6 Se 2.82-2.97

***

Entry 10:
This record from Alexandria describes a relaxed structure of Cd2ReSe. The functional is GGA-PBE.

E_tot   -3.6690 eV per atom
DOS at the Fermi energy   3.4 states/eV/cell
Space group   No. 139

a = 5.5961 Å, b = 5.5961 Å, c = 5.5961 Å
α = 138.77°, β = 138.77°, γ = 59.72°
With the nearest neighbours (Å) after each atom.
Sites, in units of the cell vectors:
Cd1 0.0000 0.0000 0.0000  4 Cd 2.79
Cd2 0.5000 0.5000 0.0000  4 Cd 2.79
Re1 0.2500 0.7500 0.5000  4 Se 2.79
Se1 0.7500 0.2500 0.5000  4 Re 2.79

***

Entry 11:
This record from Alexandria describes a relaxed structure of CdRe2Se. The functional is GGA-PBE.

E_tot   -6.2781 eV per atom
DOS at the Fermi energy   3.5 states/eV/cell
Space group   No. 225

a = 4.5027 Å, b = 4.5027 Å, c = 4.5027 Å
α = 60.00°, β = 60.00°, γ = 60.00°
With the nearest neighbours (Å) after each atom.
Sites, in units of the cell vectors:
Re1 0.2500 0.2500 0.2500  4 Cd 2.76, 4 Se 2.76
Re2 0.7500 0.7500 0.7500  4 Cd 2.76, 4 Se 2.76
Se1 0.0000 0.0000 0.0000  8 Re 2.76
Cd1 0.5000 0.5000 0.5000  8 Re 2.76

***

Entry 12:
This record from Alexandria describes a relaxed structure of CdRe3Se. The functional is GGA-PBE.

E_tot   -6.7185 eV per atom
DOS at the Fermi energy   5.5 states/eV/cell
Space group   No. 221

a = 4.5790 Å, b = 4.5790 Å, c = 4.5790 Å
α = 90.00°, β = 90.00°, γ = 90.00°
With the nearest neighbours (Å) after each atom.
Sites, in units of the cell vectors:
Re1 0.0000 0.5000 0.0000  2 Se 2.29
Re2 0.0000 0.0000 0.5000  2 Se 2.29
Re3 0.5000 0.0000 0.0000  2 Se 2.29
Se1 0.0000 0.0000 0.0000  6 Re 2.29
Cd1 0.5000 0.5000 0.5000  12 Re 3.24

***

Entry 13:
This record from Alexandria describes a relaxed structure of CdRe2Se. The functional is GGA-PBE.

E_tot   -6.4436 eV per atom
DOS at the Fermi energy   2.1 states/eV/cell
Space group   No. 119

a = 4.7391 Å, b = 4.7391 Å, c = 4.7391 Å
α = 125.82°, β = 125.82°, γ = 80.18°
With the nearest neighbours (Å) after each atom.
Sites, in units of the cell vectors:
Cd1 0.7500 0.2500 0.5000  4 Se 2.82, 8 Re 2.82-3.05
Re1 0.0000 0.0000 0.0000  4 Re 2.82, 4 Cd 2.82, 4 Se 3.05
Re2 0.2500 0.7500 0.5000  4 Se 2.82, 4 Re 2.82, 4 Cd 3.05
Se1 0.5000 0.5000 0.0000  4 Cd 2.82, 8 Re 2.82-3.05

***

Entry 14:
This record from Alexandria describes a relaxed structure of Cd2ReSe. The functional is GGA-PBE.

E_tot   -3.9869 eV per atom
DOS at the Fermi energy   3.4 states/eV/cell
Space group   No. 71

a = 7.4091 Å, b = 7.4091 Å, c = 7.4091 Å
α = 157.22°, β = 147.52°, γ = 40.04°
With the nearest neighbours (Å) after each atom.
Sites, in units of the cell vectors:
Cd1 0.9374 0.9374 0.0000  6 Cd 2.93-3.08, 2 Re 2.99
Cd2 0.5626 0.5626 0.0000  6 Cd 2.93-3.08, 2 Re 2.99
Re1 0.7500 0.2500 0.5000  4 Se 2.54
Se1 0.2500 0.7500 0.5000  4 Re 2.54

***

Entry 15:
This record from Alexandria describes a relaxed structure of CdReSe. The functional is GGA-PBE.

E_tot   -5.3525 eV per atom
DOS at the Fermi energy   2.0 states/eV/cell
Space group   No. 107

a = 6.6145 Å, b = 6.6145 Å, c = 6.6145 Å
α = 153.16°, β = 153.16°, γ = 38.32°
With the nearest neighbours (Å) after each atom.
Sites, in units of the cell vectors:
Cd1 0.9754 0.9754 0.0000  4 Re 2.95, 4 Cd 3.07
Re1 0.3157 0.3157 0.0000  4 Se 2.55
Se1 0.7089 0.7089 0.0000  4 Re 2.55